Crystalline ZrZn2InOs at its relaxed geometry, computed with PBE.

abc: 5.286 5.286 4.867
angles: 90.00 90.00 90.00
Space group P4/mmm (No. 123)
Asymmetric unit:
1 Zr 0.000 0.000 0.000 x1
2 Zn 0.000 0.500 0.000 x2
3 In 0.500 0.500 0.500 x1
4 Os 0.000 0.000 0.500 x1

Summary:
N(E_F): 4.250 states/eV/f.u.
Calculated total energy: -3.83 eV per atom
Spin magnetization: 0.000 μB per formula unit